# Dy7Y3Tm

A relaxed structure of Dy7Y3Tm (PBE, the Alexandria database).

The density of states at the Fermi level comes out at 17.63 states/eV per cell. The density comes out at 7.10 Mg/m³. The value obtained for the excess energy over the best structure of this formula in the dataset is 0.43 eV per formula unit. As for the calculated volume: 33.46 Å³/atom. The calculation puts the formation enthalpy at 0 K at 202 kJ/mol of formula units. The total energy comes out at -4.907 eV/atom.

Lattice parameters (Å, degrees): 8.5969 7.0307 7.0307 120.00 90.00 90.00
Positions (direct):
Dy1 0.1183 0.1679 0.8321
Dy2 0.1183 0.1679 0.3359
Dy3 0.1221 0.6667 0.3333
Dy4 0.4485 0.8320 0.1680
Dy5 0.4485 0.3360 0.1680
Dy6 0.4485 0.8320 0.6640
Dy7 0.1183 0.6641 0.8321
Y1 0.7827 0.4998 0.5002
Y2 0.7827 0.4998 0.9997
Y3 0.7827 0.0003 0.5002
Tm1 0.4447 0.3333 0.6667

***

# Dy2YTm6

A relaxed structure of Dy2YTm6 (PBE, the Alexandria database).

The density of states at the Fermi level comes out at 14.92 states/eV per cell. The density comes out at 8.43 Mg/m³. The value obtained for the excess energy over the best structure of this formula in the dataset is 0.00 eV per formula unit. As for the calculated volume: 31.25 Å³/atom. The calculation puts the formation enthalpy at 0 K at 41 kJ/mol of formula units. The total energy comes out at -4.675 eV/atom.

Lattice parameters (Å, degrees): 3.5579 3.5579 25.6537 90.00 90.00 120.00
Last column: magnetic moment on the atom in μB.
Positions (direct):
Dy1 0.6667 0.3333 0.3272  0.15
Dy2 0.6667 0.3333 0.6728  0.15
Y1 0.3333 0.6667 0.0000  -0.14
Tm1 0.6667 0.3333 0.8898  -0.03
Tm2 0.3333 0.6667 0.4351  0.24
Tm3 0.3333 0.6667 0.7824  0.14
Tm4 0.3333 0.6667 0.2176  0.14
Tm5 0.3333 0.6667 0.5649  0.24
Tm6 0.6667 0.3333 0.1102  -0.03

***

# Dy5Y2Tm2

A relaxed structure of Dy5Y2Tm2 (PBE, the Alexandria database).

The density of states at the Fermi level comes out at 27.17 states/eV per cell. The density comes out at 7.64 Mg/m³. The value obtained for the excess energy over the best structure of this formula in the dataset is 0.66 eV per formula unit. As for the calculated volume: 32.08 Å³/atom. The calculation puts the formation enthalpy at 0 K at 165 kJ/mol of formula units. The total energy comes out at -4.797 eV/atom.

Lattice parameters (Å, degrees): 12.6925 6.1093 10.2506 107.34 128.25 90.00
Positions (direct):
Dy1 0.1554 0.6331 0.9020
Dy2 0.8446 0.7311 0.0980
Dy3 0.2466 0.1331 0.9020
Dy4 0.7534 0.2311 0.0980
Dy5 0.3310 0.1448 0.2853
Dy6 0.6690 0.8595 0.7147
Dy7 0.4543 0.6448 0.2853
Dy8 0.5457 0.3595 0.7147
Dy9 0.0648 0.6692 0.5000
Dy10 0.9352 0.1692 0.5000
Y1 0.1790 0.6449 0.2665
Y2 0.8210 0.3784 0.7335
Y3 0.5875 0.1449 0.2665
Y4 0.4125 0.8784 0.7335
Tm1 0.0000 0.0646 0.0000
Tm2 0.5000 0.5646 0.0000
Tm3 0.1998 0.2105 0.5000
Tm4 0.8002 0.7105 0.5000

***

# Dy3Y6Tm2

A relaxed structure of Dy3Y6Tm2 (PBE, the Alexandria database).

The density of states at the Fermi level comes out at 16.84 states/eV per cell. The density comes out at 6.50 Mg/m³. As for the calculated volume: 31.56 Å³/atom. The calculation puts the formation enthalpy at 0 K at 28 kJ/mol of formula units. The total energy comes out at -5.568 eV/atom.

Lattice parameters (Å, degrees): 3.5508 3.5508 31.8612 86.81 86.81 60.00
Positions (direct):
Dy1 0.0000 0.0000 0.0000
Dy2 0.2726 0.2726 0.1822
Dy3 0.7274 0.7274 0.8178
Y1 0.0912 0.0912 0.7265
Y2 0.9088 0.9088 0.2735
Y3 0.1820 0.1820 0.4539
Y4 0.8180 0.8180 0.5461
Y5 0.3637 0.3637 0.9089
Y6 0.6363 0.6363 0.0911
Tm1 0.4546 0.4546 0.6363
Tm2 0.5454 0.5454 0.3637

***

# Dy4Y3Tm2

A relaxed structure of Dy4Y3Tm2 (PBE, the Alexandria database).

The density of states at the Fermi level comes out at 27.80 states/eV per cell. The density comes out at 7.36 Mg/m³. As for the calculated volume: 31.44 Å³/atom. The calculation puts the formation enthalpy at 0 K at 89 kJ/mol of formula units. The total energy comes out at -5.092 eV/atom.

Lattice parameters (Å, degrees): 6.1105 11.2083 11.2083 61.88 61.91 61.91
Positions (direct):
Dy1 0.4212 0.9045 0.1882
Dy2 0.0788 0.8118 0.0955
Dy3 0.5788 0.0955 0.8118
Dy4 0.9212 0.1882 0.9045
Dy5 0.0771 0.1455 0.4303
Dy6 0.4229 0.5697 0.8545
Dy7 0.9229 0.8545 0.5697
Dy8 0.5771 0.4303 0.1455
Y1 0.7445 0.0698 0.2649
Y2 0.7555 0.7351 0.9302
Y3 0.2555 0.9302 0.7351
Y4 0.2445 0.2649 0.0698
Y5 0.2500 0.5973 0.4027
Y6 0.7500 0.4027 0.5973
Tm1 0.4210 0.2400 0.5211
Tm2 0.0790 0.4789 0.7600
Tm3 0.5790 0.7600 0.4789
Tm4 0.9210 0.5211 0.2400

***

# DyY7Tm3

A relaxed structure of DyY7Tm3 (PBE, the Alexandria database).

The density of states at the Fermi level comes out at 16.13 states/eV per cell. The density comes out at 5.97 Mg/m³. The value obtained for the excess energy over the best structure of this formula in the dataset is 1.34 eV per formula unit. As for the calculated volume: 32.67 Å³/atom. The calculation puts the formation enthalpy at 0 K at 285 kJ/mol of formula units. The total energy comes out at -5.483 eV/atom.

Lattice parameters (Å, degrees): 5.7636 8.4085 8.4085 83.78 110.09 110.09
Last column: magnetic moment on the atom in μB.
Positions (direct):
Dy1 0.5000 0.5000 0.5000  0.15
Y1 0.2070 0.2060 0.2060  0.01
Y2 0.3041 0.0076 0.6010  0.01
Y3 0.6959 0.3990 0.9924  0.01
Y4 0.3041 0.6010 0.0076  0.01
Y5 0.0000 0.5000 0.5000  0.12
Y6 0.6959 0.9924 0.3990  0.01
Y7 0.7930 0.7940 0.7940  0.01
Tm1 0.0000 0.7931 0.2069  0.01
Tm2 0.5000 0.0000 0.0000  0.00
Tm3 0.0000 0.2069 0.7931  0.01